Record 1
# CaInOs2

A geometry-optimized CaInOs2 structure (PBE-GGA, Alexandria via LeMat-Bulk).

For the formation energy from the elements, the calculation gives 0.701 eV/atom.

The structure belongs to space group Cmmm (No. 65); the cell edges are 6.0967, 8.6750 and 2.7519 Å and the angles 90.00°, 90.00° and 90.00°. The inequivalent atoms are Ca at (0.0000, 0.0000, 0.0000), In at (0.0000, 0.5000, 0.0000) and Os at (0.2500, 0.2500, 0.5000).

***

Record 2
# CaIn2Os

A geometry-optimized CaIn2Os structure (PBE-GGA, Alexandria via LeMat-Bulk).

For the formation energy from the elements, the calculation gives 0.217 eV/atom.

The structure belongs to space group P2/m (No. 10); the cell edges are 3.2305, 4.5070 and 6.0994 Å and the angles 90.00°, 102.22° and 90.00°. The inequivalent atoms are Ca at (0.0000, 0.0000, 0.0000), In at (0.3914, 0.5000, 0.7186) and Os at (0.0000, 0.0000, 0.5000).